Computed, not measured: a relaxed structure of Y3Er2ScAs2Os at the GGA-PBE level of DFT.

Cell: 4.121 7.751 7.751 Å, 119.71 90.00 90.00°
Fractional positions:
Y  0.000  0.000  0.000
Y  0.000  0.419  0.821
Y  0.000  0.821  0.419
Er  0.500  0.178  0.416
Er  0.500  0.416  0.178
Sc  0.500  0.662  0.662
As  0.500  0.077  0.749
As  0.500  0.749  0.077
Os  0.000  0.442  0.442

Summary:
The space group is Amm2, No. 38. The calculation puts the total DFT energy (no corrections) at -6.9566 eV/atom.